# In2MoBr, optimized geometry, DFT GGA-PBE
# excess energy over the best structure of this formula in the dataset	0.0000	eV per atom
# formation energy (no corrections)	0.161	eV per atom
# space-group type	R3m, No. 160
# total magnetization	0.002	μB/f.u.
data_In2MoBr
_chemical_formula_sum 'In2 Mo1 Br1'
_cell_length_a 10.6049
_cell_length_b 10.6049
_cell_length_c 10.6049
_cell_angle_alpha 17.55
_cell_angle_beta 17.55
_cell_angle_gamma 17.55
_symmetry_space_group_name_H-M 'P 1'
_symmetry_Int_Tables_number 1
loop_
_symmetry_equiv_pos_as_xyz
'x,y,z'
loop_
_atom_site_label
_atom_site_type_symbol
_atom_site_fract_x
_atom_site_fract_y
_atom_site_fract_z
Br1 Br 0.7746 0.7746 0.7746
Mo1 Mo 0.4980 0.4980 0.4980
In1 In 0.9898 0.9898 0.9898
In2 In 0.2376 0.2376 0.2376


# InMoBr2, optimized geometry, DFT GGA-PBE
# excess energy over the best structure of this formula in the dataset	0.5705	eV per atom
# formation energy (no corrections)	0.485	eV per atom
# space-group type	Pmmm, No. 47
# total magnetization	3.493	μB/f.u.
data_InMoBr2
_chemical_formula_sum 'In1 Mo1 Br2'
_cell_length_a 3.5099
_cell_length_b 6.0549
_cell_length_c 4.6828
_cell_angle_alpha 90.00
_cell_angle_beta 90.00
_cell_angle_gamma 90.00
_symmetry_space_group_name_H-M 'P 1'
_symmetry_Int_Tables_number 1
loop_
_symmetry_equiv_pos_as_xyz
'x,y,z'
loop_
_atom_site_label
_atom_site_type_symbol
_atom_site_fract_x
_atom_site_fract_y
_atom_site_fract_z
Br1 Br 0.0000 0.0000 0.0000
Mo1 Mo 0.0000 0.5000 0.5000
In1 In 0.5000 0.0000 0.5000
Br2 Br 0.5000 0.5000 0.0000


# InSb2MoBr, optimized geometry, DFT GGA-PBE
# formation energy (no corrections)	1.218	eV per atom
# space-group type	P4/mmm, No. 123
# total magnetization	3.727	μB/f.u.
data_InSb2MoBr
_chemical_formula_sum 'In1 Sb2 Mo1 Br1'
_cell_length_a 5.5649
_cell_length_b 5.5724
_cell_length_c 5.5649
_cell_angle_alpha 90.00
_cell_angle_beta 90.00
_cell_angle_gamma 90.00
_symmetry_space_group_name_H-M 'P 1'
_symmetry_Int_Tables_number 1
loop_
_symmetry_equiv_pos_as_xyz
'x,y,z'
loop_
_atom_site_label
_atom_site_type_symbol
_atom_site_fract_x
_atom_site_fract_y
_atom_site_fract_z
Sb1 Sb 0.0000 0.0000 0.5000
In1 In 0.0000 0.0000 0.0000
Sb2 Sb 0.5000 0.0000 0.0000
Mo1 Mo 0.0000 0.5000 0.0000
Br1 Br 0.5000 0.5000 0.5000


# TaIn2MoBr, optimized geometry, DFT GGA-PBE
# formation energy (no corrections)	1.732	eV per atom
# space-group type	P4/mmm, No. 123
# total magnetization	0.000	μB/f.u.
data_TaIn2MoBr
_chemical_formula_sum 'Ta1 In2 Mo1 Br1'
_cell_length_a 5.2396
_cell_length_b 4.5634
_cell_length_c 5.2396
_cell_angle_alpha 90.00
_cell_angle_beta 90.00
_cell_angle_gamma 90.00
_symmetry_space_group_name_H-M 'P 1'
_symmetry_Int_Tables_number 1
loop_
_symmetry_equiv_pos_as_xyz
'x,y,z'
loop_
_atom_site_label
_atom_site_type_symbol
_atom_site_fract_x
_atom_site_fract_y
_atom_site_fract_z
In1 In 0.0000 0.0000 0.5000
Ta1 Ta 0.5000 0.5000 0.5000
Br1 Br 0.0000 0.0000 0.0000
In2 In 0.5000 0.0000 0.0000
Mo1 Mo 0.0000 0.5000 0.0000


# In4BrN2, optimized geometry, DFT GGA-PBE
# formation energy (no corrections)	0.319	eV per atom
# space-group type	I4/mmm, No. 139
# total magnetization	0.000	μB/f.u.
data_In4BrN2
_chemical_formula_sum 'In4 Br1 N2'
_cell_length_a 6.1816
_cell_length_b 6.1816
_cell_length_c 7.8114
_cell_angle_alpha 66.69
_cell_angle_beta 66.69
_cell_angle_gamma 90.00
_symmetry_space_group_name_H-M 'P 1'
_symmetry_Int_Tables_number 1
loop_
_symmetry_equiv_pos_as_xyz
'x,y,z'
loop_
_atom_site_label
_atom_site_type_symbol
_atom_site_fract_x
_atom_site_fract_y
_atom_site_fract_z
In1 In 0.2620 0.2620 0.4759
N1 N 0.5455 0.5455 0.9089
N2 N 0.4545 0.4545 0.0911
Br1 Br 0.0000 0.0000 0.0000
In2 In 0.0000 0.5000 0.0000
In3 In 0.7380 0.7380 0.5241
In4 In 0.5000 0.0000 0.0000


# InBrN, optimized geometry, DFT GGA-PBE
# formation energy (no corrections)	0.262	eV per atom
# space-group type	P1, No. 1
# total magnetization	0.000	μB/f.u.
data_InBrN
_chemical_formula_sum 'In1 Br1 N1'
_cell_length_a 3.7165
_cell_length_b 5.6530
_cell_length_c 3.6659
_cell_angle_alpha 108.81
_cell_angle_beta 60.46
_cell_angle_gamma 112.08
_symmetry_space_group_name_H-M 'P 1'
_symmetry_Int_Tables_number 1
loop_
_symmetry_equiv_pos_as_xyz
'x,y,z'
loop_
_atom_site_label
_atom_site_type_symbol
_atom_site_fract_x
_atom_site_fract_y
_atom_site_fract_z
Br1 Br 0.9228 0.3130 0.1774
N1 N 0.4779 0.8290 0.1589
In1 In 0.1119 0.7671 0.8110


# InBrN3, optimized geometry, DFT GGA-PBE
# formation energy (no corrections)	2.198	eV per atom
# space-group type	Pm-3m, No. 221
# total magnetization	6.180	μB/f.u.
data_InBrN3
_chemical_formula_sum 'In1 Br1 N3'
_cell_length_a 4.4235
_cell_length_b 4.4235
_cell_length_c 4.4235
_cell_angle_alpha 90.00
_cell_angle_beta 90.00
_cell_angle_gamma 90.00
_symmetry_space_group_name_H-M 'P 1'
_symmetry_Int_Tables_number 1
loop_
_symmetry_equiv_pos_as_xyz
'x,y,z'
loop_
_atom_site_label
_atom_site_type_symbol
_atom_site_fract_x
_atom_site_fract_y
_atom_site_fract_z
N1 N 0.0000 0.5000 0.0000
N2 N 0.5000 0.0000 0.0000
In1 In 0.0000 0.0000 0.0000
Br1 Br 0.5000 0.5000 0.5000
N3 N 0.0000 0.0000 0.5000


# InBrN, optimized geometry, DFT GGA-PBE
# formation energy (no corrections)	0.377	eV per atom
# space-group type	P-1, No. 2
# total magnetization	0.000	μB/f.u.
data_InBrN
_chemical_formula_sum 'In2 Br2 N2'
_cell_length_a 3.7537
_cell_length_b 5.6518
_cell_length_c 9.4287
_cell_angle_alpha 109.36
_cell_angle_beta 113.53
_cell_angle_gamma 70.57
_symmetry_space_group_name_H-M 'P 1'
_symmetry_Int_Tables_number 1
loop_
_symmetry_equiv_pos_as_xyz
'x,y,z'
loop_
_atom_site_label
_atom_site_type_symbol
_atom_site_fract_x
_atom_site_fract_y
_atom_site_fract_z
Br1 Br 0.4394 0.4111 0.1456
In1 In 0.6666 0.7660 0.5496
Br2 Br 0.5606 0.5889 0.8544
In2 In 0.3335 0.2340 0.4504
N1 N 0.3270 0.6143 0.6338
N2 N 0.6730 0.3857 0.3662


# InBrN3, optimized geometry, DFT GGA-PBE
# formation energy (no corrections)	2.326	eV per atom
# space-group type	Pm-3m, No. 221
# total magnetization	0.000	μB/f.u.
data_InBrN3
_chemical_formula_sum 'In1 Br1 N3'
_cell_length_a 3.9462
_cell_length_b 3.9462
_cell_length_c 3.9462
_cell_angle_alpha 90.00
_cell_angle_beta 90.00
_cell_angle_gamma 90.00
_symmetry_space_group_name_H-M 'P 1'
_symmetry_Int_Tables_number 1
loop_
_symmetry_equiv_pos_as_xyz
'x,y,z'
loop_
_atom_site_label
_atom_site_type_symbol
_atom_site_fract_x
_atom_site_fract_y
_atom_site_fract_z
N1 N 0.0000 0.5000 0.0000
N2 N 0.5000 0.0000 0.0000
N3 N 0.0000 0.0000 0.5000
In1 In 0.5000 0.5000 0.5000
Br1 Br 0.0000 0.0000 0.0000


# In2Br2N, optimized geometry, DFT GGA-PBE
# formation energy (no corrections)	0.552	eV per atom
# space-group type	P-1, No. 2
# total magnetization	2.993	μB/f.u.
data_In2Br2N
_chemical_formula_sum 'In4 Br4 N2'
_cell_length_a 4.4511
_cell_length_b 7.7199
_cell_length_c 13.2134
_cell_angle_alpha 70.44
_cell_angle_beta 100.07
_cell_angle_gamma 90.05
_symmetry_space_group_name_H-M 'P 1'
_symmetry_Int_Tables_number 1
loop_
_symmetry_equiv_pos_as_xyz
'x,y,z'
loop_
_atom_site_label
_atom_site_type_symbol
_atom_site_fract_x
_atom_site_fract_y
_atom_site_fract_z
N1 N 0.7504 0.2627 0.4989
In1 In 0.5473 0.7818 0.0900
Br1 Br 0.8891 0.1224 0.7860
Br2 Br 0.6117 0.3773 0.2145
In2 In 0.4527 0.2182 0.9100
N2 N 0.2496 0.7373 0.5011
Br3 Br 0.3883 0.6227 0.7855
Br4 Br 0.1109 0.8776 0.2140
In3 In 0.0473 0.2823 0.0901
In4 In 0.9527 0.7177 0.9099


# InBr3N2, optimized geometry, DFT GGA-PBE
# formation energy (no corrections)	0.682	eV per atom
# space-group type	P-1, No. 2
# total magnetization	0.003	μB/f.u.
data_InBr3N2
_chemical_formula_sum 'In2 Br6 N4'
_cell_length_a 8.6433
_cell_length_b 7.7856
_cell_length_c 7.2358
_cell_angle_alpha 123.30
_cell_angle_beta 72.11
_cell_angle_gamma 100.63
_symmetry_space_group_name_H-M 'P 1'
_symmetry_Int_Tables_number 1
loop_
_symmetry_equiv_pos_as_xyz
'x,y,z'
loop_
_atom_site_label
_atom_site_type_symbol
_atom_site_fract_x
_atom_site_fract_y
_atom_site_fract_z
N1 N 0.3204 0.4379 0.0989
N2 N 0.3298 0.0882 0.1132
Br1 Br 0.8692 0.5147 0.3409
In1 In 0.8998 0.7422 0.7946
Br2 Br 0.5456 0.7391 0.9567
N3 N 0.6702 0.9118 0.8868
Br3 Br 0.0987 0.0285 0.7435
In2 In 0.1002 0.2578 0.2054
Br4 Br 0.4544 0.2609 0.0433
N4 N 0.6796 0.5621 0.9011
Br5 Br 0.9013 0.9715 0.2565
Br6 Br 0.1308 0.4853 0.6591


# Na2InBrN, optimized geometry, DFT GGA-PBE
# formation energy (no corrections)	0.606	eV per atom
# space-group type	P4/mmm, No. 123
# total magnetization	0.008	μB/f.u.
data_Na2InBrN
_chemical_formula_sum 'Na2 In1 Br1 N1'
_cell_length_a 5.2828
_cell_length_b 4.6335
_cell_length_c 5.2828
_cell_angle_alpha 90.00
_cell_angle_beta 90.00
_cell_angle_gamma 90.00
_symmetry_space_group_name_H-M 'P 1'
_symmetry_Int_Tables_number 1
loop_
_symmetry_equiv_pos_as_xyz
'x,y,z'
loop_
_atom_site_label
_atom_site_type_symbol
_atom_site_fract_x
_atom_site_fract_y
_atom_site_fract_z
N1 N 0.0000 0.5000 0.0000
Na1 Na 0.5000 0.0000 0.0000
Na2 Na 0.0000 0.0000 0.5000
Br1 Br 0.0000 0.0000 0.0000
In1 In 0.5000 0.5000 0.5000